No. 1
This record from Alexandria describes a geometry-optimized SmMgH structure. The functional is PBE.

Structure (POSCAR):
```
SmMgH
1.0
-0.1793 2.2257 -2.3893
-0.6452 -2.3699 -2.1591
-5.5298 0.7274 3.3306
Sm H Mg
1 1 1
Cartesian
-3.1580 0.2307 -1.7861 Sm
-3.0059 0.3315 0.5344 H
-0.1904 0.0210 0.0338 Mg
```

Calculated values
Spin magnetization: 0.01 μB/atom
ΔE to the lowest computed polymorph: 0.256 eV/atom
Fermi-level density of states: 2.89 states/eV per cell



No. 2
This record from Alexandria describes a geometry-optimized UNb2Se4S2 structure. The functional is PBE.

Structure (POSCAR):
```
UNb2Se4S2
1.0
3.5767 0.0000 0.0000
-1.7883 3.0975 0.0000
0.0000 0.0000 21.2051
Se U S Nb
4 1 2 2
Cartesian
1.7883 1.0325 19.1633 Se
0.0000 0.0000 15.5118 Se
0.0000 0.0000 12.2011 Se
1.7883 1.0325 1.2685 Se
0.0000 0.0000 6.8669 U
1.7883 1.0325 8.5397 S
1.7883 1.0325 5.1944 S
1.7883 1.0325 13.8581 Nb
0.0000 0.0000 20.8166 Nb
```

Calculated values
Spin magnetization: 0.07 μB/atom
Raw formation energy: -931 meV per atom
Fermi-level density of states: 6.66 states/eV per cell